Density functional theory data (PBEsol) for crystalline Cr2CuCl at its relaxed geometry.

POSCAR file:
```
Cr2CuCl
1.0
-2.397 -1.873 0.069
0.715 -0.811 2.844
-3.759 4.897 2.342
Cr Cu Cl
2 1 1
direct
0.000 0.000 0.776 Cr
0.000 0.000 0.224 Cr
0.500 0.500 0.000 Cu
0.500 0.500 0.500 Cl
```

ΔE_f (raw) (meV per atom): 557
Electronic total energy (eV/atom): -6.150
Space-group type: P4/mmm, No. 123
ΔE to the lowest computed polymorph (meV per atom): 23
V (Å³/atom): 15.28

---

Density functional theory data (PBEsol) for crystalline Cr2CuCl at its relaxed geometry.

POSCAR file:
```
Cr2CuCl
1.0
4.041 0.000 0.000
2.020 3.499 0.000
2.020 1.166 3.299
Cr Cu Cl
2 1 1
direct
0.250 0.250 0.250 Cr
0.750 0.750 0.750 Cr
0.000 0.000 0.000 Cu
0.500 0.500 0.500 Cl
```

ΔE_f (raw) (meV per atom): 854
Electronic total energy (eV/atom): -5.853
Space-group type: Fm-3m, No. 225
ΔE to the lowest computed polymorph (meV per atom): 320
V (Å³/atom): 11.66

---

Density functional theory data (PBEsol) for crystalline CrCuCl2 at its relaxed geometry.

POSCAR file:
```
CrCuCl2
1.0
3.121 0.000 0.000
0.000 4.259 -0.042
-1.560 -2.065 5.978
Cr Cu Cl
1 1 2
direct
0.000 0.500 0.000 Cr
0.500 0.000 0.000 Cu
0.643 0.642 0.285 Cl
0.357 0.358 0.715 Cl
```

ΔE_f (raw) (meV per atom): -185
Electronic total energy (eV/atom): -4.833
Space-group type: Immm, No. 71
V (Å³/atom): 19.80

---

- What is the electronic total energy in the second record?
  -5.853 eV/atom

---

- Which of these has the highest ΔE_f (raw)?
  number 2

---

- The highest ΔE_f (raw) belongs to which entry?
  number 2

---

- What is the electronic total energy in the second record?
  -5.853 eV/atom